## Co2Re2Mo (PBE-GGA)

Data for crystalline Co2Re2Mo at its relaxed geometry. Values from VASP.

Quantum ESPRESSO input file:
```
&SYSTEM
  ibrav = 0, nat = 10, ntyp = 3
/
ATOMIC_SPECIES
Re 186.21 Re.upf
Co 58.93 Co.upf
Mo 95.94 Mo.upf
CELL_PARAMETERS angstrom
-2.0239 2.4639 6.3854
-6.4096 1.6526 -2.6693
-0.8903 -2.4079 0.6470
ATOMIC_POSITIONS crystal
Re 0.3244 0.1756 0.5000
Re 0.8244 0.3244 0.5000
Re 0.6756 0.8244 0.5000
Re 0.1756 0.6756 0.5000
Co 0.6192 0.1192 0.0000
Co 0.8808 0.6192 0.0000
Co 0.3808 0.8808 0.0000
Co 0.1192 0.3808 0.0000
Mo 0.5000 0.5000 0.0000
Mo 0.0000 0.0000 0.0000
```

Space-group type = No. 127
Magnetization = 0.0 μB per cell
Energy of formation from the pure elements = 114.0 meV/atom



## CoReMo2 (PBE-GGA)

Data for crystalline CoReMo2 at its relaxed geometry. Values from VASP.

Quantum ESPRESSO input file:
```
&SYSTEM
  ibrav = 0, nat = 4, ntyp = 3
/
ATOMIC_SPECIES
Co 58.93 Co.upf
Mo 95.94 Mo.upf
Re 186.21 Re.upf
CELL_PARAMETERS angstrom
5.0412 -0.0050 -0.0031
2.2069 4.5325 0.0031
-3.2085 -2.9290 2.5574
ATOMIC_POSITIONS crystal
Co 0.7513 0.2513 0.5000
Mo 0.2496 0.7496 0.5000
Mo 0.0063 0.0063 0.0000
Re 0.4928 0.4928 0.0000
```

Space-group type = No. 44
Magnetization = 1.5 μB per cell
E above lowest polymorph = 82 meV/atom
Energy of formation from the pure elements = 180.9 meV/atom



## CoReMo2 (PBE-GGA)

Data for crystalline CoReMo2 at its relaxed geometry. Values from VASP.

Quantum ESPRESSO input file:
```
&SYSTEM
  ibrav = 0, nat = 4, ntyp = 3
/
ATOMIC_SPECIES
Mo 95.94 Mo.upf
Co 58.93 Co.upf
Re 186.21 Re.upf
CELL_PARAMETERS angstrom
0.0000 3.0835 3.0835
3.0835 0.0000 3.0835
3.0835 3.0835 0.0000
ATOMIC_POSITIONS crystal
Mo 0.2500 0.2500 0.2500
Mo 0.7500 0.7500 0.7500
Co 0.0000 0.0000 0.0000
Re 0.5000 0.5000 0.5000
```

Space-group type = No. 225
Magnetization = 2.4 μB per cell
E above lowest polymorph = 78 meV/atom
Energy of formation from the pure elements = 177.4 meV/atom



## CoReMo2 (PBE-GGA)

Data for crystalline CoReMo2 at its relaxed geometry. Values from VASP.

Quantum ESPRESSO input file:
```
&SYSTEM
  ibrav = 0, nat = 4, ntyp = 3
/
ATOMIC_SPECIES
Mo 95.94 Mo.upf
Re 186.21 Re.upf
Co 58.93 Co.upf
CELL_PARAMETERS angstrom
-0.2944 -3.6564 -2.9872
0.7969 -1.5873 4.3846
-2.7028 -0.1418 0.4399
ATOMIC_POSITIONS crystal
Mo 0.5000 0.5000 0.0000
Mo 0.0000 0.0000 0.0000
Re 0.5000 0.0000 0.5000
Co 0.0000 0.5000 0.5000
```

Space-group type = No. 65
Magnetization = 0.0 μB per cell
E above lowest polymorph = 54 meV/atom
Energy of formation from the pure elements = 153.5 meV/atom



Number 1: DOS(E_F) 1.1067 states/eV per atom. Number 2: DOS(E_F) 1.1368 states/eV per atom. Number 3: DOS(E_F) 1.4096 states/eV per atom. Number 4: DOS(E_F) 0.9374 states/eV per atom.